Here is a relaxed structure of Ba2Sr6Ti7MnO22 from Alexandria via LeMat-Bulk. Energies are from PBE+U.

Cell: 7.994 7.994 7.880 Å, 90.00 90.00 90.27°
Fractional coordinates of all 38 atoms:
Ba: 0.248 0.248 0.000
Ba: 0.752 0.752 0.000
Sr: 0.257 0.743 0.006
Sr: 0.258 0.742 0.495
Sr: 0.259 0.259 0.495
Sr: 0.741 0.741 0.495
Sr: 0.742 0.258 0.495
Sr: 0.743 0.257 0.006
Ti: 0.000 0.000 0.724
Ti: 0.000 0.500 0.255
Ti: 0.000 0.500 0.747
Ti: 0.500 0.000 0.255
Ti: 0.500 0.000 0.747
Ti: 0.500 0.500 0.249
Ti: 0.500 0.500 0.747
Mn: 0.000 0.000 0.280
O: 0.000 0.500 0.497
O: 0.000 0.500 0.987
O: 0.001 0.756 0.735
O: 0.004 0.742 0.245
O: 0.244 0.999 0.735
O: 0.250 0.502 0.740
O: 0.252 0.501 0.248
O: 0.258 0.996 0.245
O: 0.498 0.750 0.740
O: 0.499 0.748 0.248
O: 0.500 0.000 0.497
O: 0.500 0.000 0.987
O: 0.500 0.500 0.495
O: 0.500 0.500 0.994
O: 0.501 0.252 0.248
O: 0.502 0.250 0.740
O: 0.742 0.004 0.245
O: 0.748 0.499 0.248
O: 0.750 0.498 0.740
O: 0.756 0.001 0.735
O: 0.996 0.258 0.245
O: 0.999 0.244 0.735

Computed properties:
energy	-7.84	eV per atom